1.
Entry from the Alexandria database: crystalline CrHgPb at its relaxed geometry (PBEsol).

Cell and atoms, written as extended XYZ:
```
3
Lattice="4.708 0.000 0.000 2.354 4.077 0.000 2.354 1.359 3.844" Properties=species:S:1:pos:R:3 pbc="T T T"
Cr 4.708 2.718 1.922
Hg 2.354 1.359 0.961
Pb 0.000 0.000 0.000
```

Results
The formation energy is 0.605 eV/atom. The value obtained for the density of states at the Fermi level is 0.4373 states/eV/atom. The density comes out at 10350 kg/m3. As for the energy above the most stable polymorph in this dataset: 0.31 eV per formula unit. The volume is 24.59 A^3/atom. For the size of the total moment, the calculation gives 4.193 μB per formula unit.

---

2.
Entry from the Alexandria database: crystalline NbTl2ZnCu at its relaxed geometry (PBEsol).

Cell and atoms, written as extended XYZ:
```
5
Lattice="4.414 0.000 0.000 0.000 4.904 0.000 0.000 0.000 4.904" Properties=species:S:1:pos:R:3 pbc="T T T"
Zn 2.207 0.000 0.000
Tl 0.000 0.000 2.452
Tl 0.000 2.452 0.000
Nb 2.207 2.452 2.452
Cu 0.000 0.000 0.000
```

Results
The formation energy is 0.909 eV/atom. The value obtained for the density of states at the Fermi level is 1.0005 states/eV/atom. The density comes out at 9868 kg/m3. The volume is 21.22 A^3/atom. For the size of the total moment, the calculation gives 1.671 μB per formula unit.

---

3.
Entry from the Alexandria database: crystalline OsRh3 at its relaxed geometry (PBEsol).

Cell and atoms, written as extended XYZ:
```
4
Lattice="-2.321 0.931 0.992 -1.133 -4.011 1.112 2.022 0.588 4.179" Properties=species:S:1:pos:R:3 pbc="T T T"
Rh 0.101 -1.812 1.936
Rh -0.144 0.761 2.596
Rh -0.045 -1.051 4.527
Os 0.005 0.002 0.011
```

Results
The formation energy is 0.045 eV/atom. The value obtained for the density of states at the Fermi level is 1.2629 states/eV/atom. The density comes out at 15256 kg/m3. The volume is 13.58 A^3/atom. For the size of the total moment, the calculation gives 0.000 μB per formula unit.

---

4.
Entry from the Alexandria database: crystalline Na13Ca7S12O48F3 at its relaxed geometry (PBEsol).

Cell and atoms, written as extended XYZ:
```
83
Lattice="-2.706 -4.338 4.591 6.521 -6.375 -2.180 9.787 6.062 11.497" Properties=species:S:1:pos:R:3 pbc="T T T"
Na 1.955 -1.812 -0.560
Na 2.889 -5.485 4.303
Na 4.278 -3.257 1.946
Na 6.448 -3.848 5.307
Na 6.894 -4.666 -0.346
Na 14.089 -0.366 7.959
Na 9.046 -5.408 2.814
Na 4.520 0.744 11.166
Na 7.704 -7.559 5.092
Na 5.918 2.984 8.795
Na 8.476 1.425 6.343
Na 10.721 0.776 9.598
Na 9.354 -1.415 11.917
Ca 6.138 -0.147 3.479
Ca 9.729 -1.617 4.207
Ca 0.649 -2.168 3.477
Ca 8.086 2.352 12.131
Ca 5.158 -0.768 7.457
Ca 8.716 -2.310 8.098
Ca 13.358 -0.967 12.103
S 3.756 -2.401 5.088
S 1.251 -4.512 1.617
S 7.772 -2.569 2.154
S 5.584 -6.103 2.668
S 11.922 -2.585 9.727
S 9.412 -4.671 6.277
S 5.518 2.223 5.354
S 3.019 0.084 1.859
S 9.375 3.669 8.992
S 7.203 0.128 9.509
S 13.825 1.915 9.959
S 11.113 -0.071 6.484
O 1.487 -3.070 1.339
O 0.551 -4.571 2.928
O 3.669 -1.048 1.172
O 2.809 -2.903 4.056
O 5.019 -1.987 4.428
O 4.074 -3.502 6.031
O 2.551 -5.221 1.714
O 6.413 -2.049 1.844
O 4.693 -3.397 -0.444
O 5.246 -4.966 3.542
O 6.074 -5.824 6.573
O 7.838 -2.995 3.580
O 5.506 -5.687 1.236
O 4.570 -7.188 2.824
O 8.656 -4.715 7.566
O 9.591 -3.217 5.980
O 11.727 -1.218 5.762
O 10.915 -3.017 8.726
O 8.121 -3.709 1.282
O 8.683 -5.353 5.203
O 13.192 -2.225 9.040
O 12.257 -3.723 10.626
O 6.939 -6.644 2.956
O 10.721 -3.491 3.020
O 4.230 1.088 8.664
O 8.018 4.118 8.618
O -0.026 -3.168 5.489
O 1.739 -0.338 2.494
O 6.310 2.852 6.414
O 6.922 1.268 10.421
O 3.924 0.636 2.914
O 3.180 -1.253 5.833
O 3.533 -2.068 8.632
O 5.301 0.766 5.632
O 7.650 0.446 13.429
O 9.416 3.276 10.433
O 7.102 0.589 8.101
O 6.163 -0.917 9.694
O 9.799 2.521 8.158
O 10.191 0.951 12.048
O 8.555 -0.431 9.778
O 12.476 2.471 9.689
O 8.069 -3.340 10.095
O 9.833 -0.513 7.102
O 12.014 0.465 7.521
O 11.419 -1.432 10.520
O 11.937 -2.363 13.306
O 13.705 0.472 10.307
F -1.323 -2.189 2.294
F 8.060 -0.186 4.575
F 6.775 -2.225 7.034
```

Results
The value obtained for the energy relative to the elements, uncorrected is -2.123 eV per atom. The value obtained for the density of states at the Fermi level is 0.0000 states/eV/atom. The density comes out at 2834 kg/m3. The volume is 12.63 A^3/atom. For the size of the total moment, the calculation gives 0.015 μB per formula unit.

---

5.
Entry from the Alexandria database: crystalline YTc4 at its relaxed geometry (PBEsol).

Cell and atoms, written as extended XYZ:
```
5
Lattice="-2.117 3.240 -2.797 -2.078 -1.389 -4.111 -4.661 1.015 0.627" Properties=species:S:1:pos:R:3 pbc="T T T"
Tc -3.899 0.940 -4.112
Tc -6.435 2.311 -4.680
Tc -4.958 1.926 -2.169
Tc -2.422 0.554 -1.601
Y 0.000 0.000 0.000
```

Results
The formation energy is 0.229 eV/atom. The value obtained for the density of states at the Fermi level is 1.2629 states/eV/atom. The density comes out at 9583 kg/m3. The volume is 16.67 A^3/atom. For the size of the total moment, the calculation gives 0.000 μB per formula unit.

---

6.
Entry from the Alexandria database: crystalline ScMoP2Ru at its relaxed geometry (PBEsol).

Cell and atoms, written as extended XYZ:
```
5
Lattice="-3.600 -2.315 0.905 2.415 -2.533 3.125 -1.129 3.071 3.362" Properties=species:S:1:pos:R:3 pbc="T T T"
Sc 0.000 0.000 0.000
Ru -1.800 -1.158 0.453
Mo -1.157 -0.889 3.696
P -0.565 1.536 1.681
P 1.207 -1.267 1.562
```

Results
The formation energy is 1.423 eV/atom. The value obtained for the density of states at the Fermi level is 1.0589 states/eV/atom. The density comes out at 5241 kg/m3. The volume is 19.26 A^3/atom. For the size of the total moment, the calculation gives 2.160 μB per formula unit.

---

7.
Entry from the Alexandria database: crystalline CdRe2Ir at its relaxed geometry (PBEsol).

Cell and atoms, written as extended XYZ:
```
4
Lattice="2.738 0.000 0.000 0.000 4.754 0.000 0.000 0.000 4.754" Properties=species:S:1:pos:R:3 pbc="T T T"
Re 0.000 0.000 2.377
Re 0.000 2.377 0.000
Ir 1.369 0.000 0.000
Cd 1.369 2.377 2.377
```

Results
The formation energy is 0.750 eV/atom. The value obtained for the density of states at the Fermi level is 1.0216 states/eV/atom. The density comes out at 18166 kg/m3. The volume is 15.47 A^3/atom. For the size of the total moment, the calculation gives 0.000 μB per formula unit.

---

8.
Entry from the Alexandria database: crystalline P2H24AuC8I at its relaxed geometry (PBEsol).

Cell and atoms, written as extended XYZ:
```
72
Lattice="-2.961 6.165 -3.031 1.534 -4.547 -10.748 -9.684 -1.439 6.535" Properties=species:S:1:pos:R:3 pbc="T T T"
P -7.801 -2.008 -1.081
P -6.047 0.178 -7.579
P -3.311 2.188 -6.164
P -5.064 0.001 0.334
H -6.777 -2.742 -3.574
H -7.961 0.259 -5.545
H -4.335 2.922 -3.670
H -3.150 -0.079 -1.699
H -4.993 -2.937 -3.511
H -7.893 1.814 -4.651
H -5.699 -1.466 -4.234
H -7.186 0.343 -3.928
H -6.118 3.117 -3.734
H -3.219 -1.634 -2.594
H -5.412 1.646 -3.011
H -3.925 -0.163 -3.317
H -0.291 -0.492 -8.626
H -8.329 2.502 2.670
H 0.765 -2.691 -7.546
H -9.385 4.700 1.589
H -10.821 0.672 1.382
H -2.782 -2.322 -9.914
H -11.877 2.870 0.301
H -1.726 -4.520 -8.834
H -8.680 -1.657 -3.326
H -7.140 -1.621 -6.353
H -7.455 -4.207 -2.072
H -8.365 0.929 -7.607
H -2.432 1.837 -3.919
H -3.971 1.801 -0.891
H -3.656 4.386 -5.172
H -2.746 -0.749 0.362
H -9.119 -0.341 -2.182
H -5.463 -2.028 -6.856
H -10.225 1.964 -3.315
H -4.357 -4.333 -5.723
H -1.993 0.521 -5.062
H -5.648 2.208 -0.388
H -0.886 -1.784 -3.929
H -6.755 4.513 -1.521
H -8.728 -0.533 0.578
H -3.998 -0.472 -8.657
H -8.007 -2.034 1.316
H -4.718 1.028 -9.395
H -2.384 0.713 -7.823
H -7.114 0.652 1.413
H -3.104 2.214 -8.560
H -6.393 -0.849 2.150
H -9.602 -2.113 0.466
H -5.440 -0.594 -9.743
H -1.509 2.293 -7.711
H -5.672 0.774 2.499
Au -5.636 -1.224 -1.601
Au -5.476 1.404 -5.644
C -5.821 -2.215 -3.436
C -7.351 0.882 -4.874
C -5.291 2.395 -3.809
C -3.760 -0.702 -2.371
C -9.010 -1.434 -2.300
C -6.408 -1.549 -7.170
C -7.865 -3.817 -1.129
C -7.552 0.835 -8.342
C -2.102 1.614 -4.944
C -4.704 1.728 -0.074
C -3.246 3.997 -6.116
C -3.559 -0.655 1.098
C -8.607 -1.626 0.485
C -4.926 0.027 -8.982
C -2.505 1.805 -7.730
C -6.185 0.153 1.737
I -2.318 -2.144 -6.713
I -8.794 2.323 -0.532
```

Results
The value obtained for the density of states at the Fermi level is 0.0000 states/eV/atom. The density comes out at 1968 kg/m3. The volume is 11.86 A^3/atom. For the size of the total moment, the calculation gives 0.126 μB per formula unit. The total energy comes out at -4.9882 eV per atom.

---

9.
Entry from the Alexandria database: crystalline Si2OsPt at its relaxed geometry (PBEsol).

Cell and atoms, written as extended XYZ:
```
4
Lattice="2.782 0.000 0.000 0.000 3.548 0.000 -1.391 -1.774 5.931" Properties=species:S:1:pos:R:3 pbc="T T T"
Os 0.000 0.000 5.520
Pt 0.000 1.774 2.341
Si 0.000 0.000 0.481
Si 1.391 0.000 3.519
```

Results
The value obtained for the energy relative to the elements, uncorrected is -0.359 eV per atom. The value obtained for the density of states at the Fermi level is 0.4120 states/eV/atom. The density comes out at 12524 kg/m3. The volume is 14.63 A^3/atom. For the size of the total moment, the calculation gives 0.000 μB per formula unit.

---

10.
Entry from the Alexandria database: crystalline K4IrPb at its relaxed geometry (PBEsol).

Cell and atoms, written as extended XYZ:
```
6
Lattice="6.325 0.000 0.000 3.162 5.478 0.000 3.162 1.826 5.164" Properties=species:S:1:pos:R:3 pbc="T T T"
Ir 0.000 0.000 0.000
K 4.725 2.728 1.929
K 6.325 3.652 4.541
K 7.924 2.728 1.929
K 6.325 5.499 1.929
Pb 9.487 5.478 3.873
```

Results
The formation energy is 0.909 eV/atom. The value obtained for the density of states at the Fermi level is 1.0969 states/eV/atom. The density comes out at 5159 kg/m3. The volume is 29.82 A^3/atom. For the size of the total moment, the calculation gives 0.004 μB per formula unit.

---

11.
Entry from the Alexandria database: crystalline TaCoSe2 at its relaxed geometry (PBEsol).

Cell and atoms, written as extended XYZ:
```
4
Lattice="3.092 0.002 0.003 -1.413 4.759 -0.039 -1.413 -1.896 4.365" Properties=species:S:1:pos:R:3 pbc="T T T"
Co 0.133 1.433 2.165
Se -0.706 2.380 -0.020
Se -0.706 -0.948 2.183
Ta 1.546 0.001 0.002
```

Results
The value obtained for the energy relative to the elements, uncorrected is 0.264 eV per atom. The value obtained for the density of states at the Fermi level is 0.7846 states/eV/atom. The density comes out at 10314 kg/m3. The volume is 16.01 A^3/atom. For the size of the total moment, the calculation gives 0.000 μB per formula unit.

---

12.
Entry from the Alexandria database: crystalline BaZn2 at its relaxed geometry (PBEsol).

Cell and atoms, written as extended XYZ:
```
6
Lattice="4.298 0.000 0.000 0.000 4.383 0.000 -2.149 0.000 9.204" Properties=species:S:1:pos:R:3 pbc="T T T"
Zn 2.149 3.287 5.941
Zn 0.000 3.287 4.595
Zn 2.149 1.096 4.609
Zn 0.000 1.096 3.262
Ba 2.149 3.287 1.888
Ba 0.000 1.096 7.316
```

Results
The formation energy is -0.124 eV/atom. The value obtained for the density of states at the Fermi level is 0.6679 states/eV/atom. The density comes out at 5136 kg/m3. The volume is 28.90 A^3/atom. For the size of the total moment, the calculation gives 0.000 μB per formula unit.

---

13.
Entry from the Alexandria database: crystalline CuBiB2Pb at its relaxed geometry (PBEsol).

Cell and atoms, written as extended XYZ:
```
5
Lattice="4.551 0.000 0.000 0.000 4.551 0.000 0.000 0.000 4.988" Properties=species:S:1:pos:R:3 pbc="T T T"
Pb 0.000 0.000 0.000
B 0.000 2.276 0.000
B 2.276 0.000 0.000
Bi 2.276 2.276 2.494
Cu 0.000 0.000 2.494
```

Results
The formation energy is 1.848 eV/atom. The value obtained for the density of states at the Fermi level is 0.5997 states/eV/atom. The density comes out at 8057 kg/m3. The volume is 20.66 A^3/atom. For the size of the total moment, the calculation gives 0.000 μB per formula unit.

---

14.
Entry from the Alexandria database: crystalline Li2TiFeO4 at its relaxed geometry (PBEsol).

Cell and atoms, written as extended XYZ:
```
8
Lattice="-1.692 0.719 2.252 -1.853 -4.775 0.132 3.784 0.214 2.774" Properties=species:S:1:pos:R:3 pbc="T T T"
Ti 1.892 0.107 1.387
Fe -0.846 0.359 1.126
O 1.480 -3.508 2.231
O 0.451 -1.054 0.675
O -1.281 -3.236 1.946
O 1.521 -0.607 3.212
Li -0.927 -2.388 0.066
Li 0.120 -1.921 2.579
```

Results
The value obtained for the energy relative to the elements, uncorrected is -2.194 eV per atom. The value obtained for the density of states at the Fermi level is 0.2583 states/eV/atom. The density comes out at 4547 kg/m3. As for the energy above the most stable polymorph in this dataset: 0.00 eV per formula unit. The volume is 8.29 A^3/atom. For the size of the total moment, the calculation gives 0.047 μB per formula unit.

---

15.
Entry from the Alexandria database: crystalline HgP2 at its relaxed geometry (PBEsol).

Cell and atoms, written as extended XYZ:
```
6
Lattice="4.838 0.000 0.000 -2.419 4.190 0.000 0.000 0.000 5.260" Properties=species:S:1:pos:R:3 pbc="T T T"
Hg 0.000 2.793 3.945
Hg 2.419 1.397 1.315
P 0.000 0.000 0.000
P 0.000 0.000 2.630
P 2.419 1.397 3.945
P 0.000 2.793 1.315
```

Results
The formation energy is 0.781 eV/atom. The value obtained for the density of states at the Fermi level is 0.6426 states/eV/atom. The density comes out at 8178 kg/m3. The volume is 17.77 A^3/atom. For the size of the total moment, the calculation gives 0.000 μB per formula unit.

---

16.
Entry from the Alexandria database: crystalline La3Rh2 at its relaxed geometry (PBEsol).

Cell and atoms, written as extended XYZ:
```
15
Lattice="-5.031 2.359 5.125 1.664 -3.194 6.646 3.303 5.186 4.397" Properties=species:S:1:pos:R:3 pbc="T T T"
La 0.000 0.000 0.000
La -0.051 3.466 12.878
La -0.013 0.886 3.291
La 2.030 2.600 6.378
La -1.793 3.080 6.234
La -0.315 -0.358 7.165
La -2.094 1.751 9.790
La 1.729 1.271 9.935
La 0.251 4.709 9.004
Rh -2.593 4.796 8.593
Rh -0.835 -0.814 10.110
Rh 3.318 3.466 8.974
Rh 2.529 -0.445 7.575
Rh 0.771 5.165 6.059
Rh -3.382 0.885 7.194
```

Results
The formation energy is -0.601 eV/atom. The value obtained for the density of states at the Fermi level is 0.6948 states/eV/atom. The density comes out at 8229 kg/m3. As for the energy above the most stable polymorph in this dataset: 0.00 eV per formula unit. The volume is 25.13 A^3/atom. For the size of the total moment, the calculation gives 0.000 μB per formula unit.